(i)
A plane-wave DFT calculation with PBE was carried out for NpInF6 after structural relaxation.

a b c (Å): 5.383 5.411 5.411
angles (deg): 97.39 94.56 94.56
Last column: magnetic moment on the atom in μB.
Atoms (fractional coordinates):
F 0.736 0.084 0.729  -0.03
F 0.736 0.729 0.084  -0.03
F 0.264 0.271 0.916  -0.03
F 0.117 0.732 0.732  -0.03
F 0.264 0.916 0.271  -0.03
F 0.883 0.268 0.268  -0.03
Np 0.000 0.000 0.000  2.17
In 0.500 0.500 0.500  -0.01


(ii)
A plane-wave DFT calculation with PBE was carried out for NpInF6 after structural relaxation.

a b c (Å): 5.845 5.866 6.873
angles (deg): 64.42 64.43 59.64
Last column: magnetic moment on the atom in μB.
Atoms (fractional coordinates):
F 0.272 0.850 0.293  -0.03
F 0.851 0.584 0.293  -0.03
F 0.728 0.150 0.707  -0.03
F 0.414 0.726 0.706  -0.03
F 0.586 0.274 0.294  -0.03
F 0.149 0.416 0.707  -0.03
In 0.000 0.000 0.000  -0.04
Np 0.500 0.500 0.500  2.22


The data favor (ii); the next most stable structure lies 17 meV per atom above it.


(i)
A plane-wave DFT calculation with PBE was carried out for InO2F after structural relaxation.

a b c (Å): 3.580 3.580 8.167
angles (deg): 77.34 77.34 90.00
Atoms (fractional coordinates):
In 0.000 0.000 0.000
In 0.750 0.250 0.500
O 0.875 0.054 0.750
O 0.946 0.625 0.250
O 0.804 0.125 0.250
O 0.375 0.196 0.750
F 0.250 0.750 0.500
F 0.500 0.500 0.000


(ii)
A plane-wave DFT calculation with PBE was carried out for InO2F after structural relaxation.

a b c (Å): 3.892 3.892 3.892
angles (deg): 60.00 60.00 60.00
Last column: magnetic moment on the atom in μB.
Atoms (fractional coordinates):
O 0.250 0.250 0.250  0.71
O 0.750 0.750 0.750  0.71
In 0.500 0.500 0.500  -0.06
F 0.000 0.000 0.000  0.39


The data favor (i); the next most stable structure lies 260 meV per atom above it.


(i)
A plane-wave DFT calculation with PBE was carried out for InOsOF2 after structural relaxation.

a b c (Å): 4.378 4.378 4.133
angles (deg): 90.00 90.00 90.00
Last column: magnetic moment on the atom in μB.
Atoms (fractional coordinates):
O 0.000 0.000 0.500  0.20
In 0.000 0.000 0.000  -0.02
Os 0.500 0.500 0.500  3.67
F 0.500 0.000 0.000  0.07
F 0.000 0.500 0.000  0.07


(ii)
A plane-wave DFT calculation with PBE was carried out for InOsOF2 after structural relaxation.

a b c (Å): 4.458 4.458 3.800
angles (deg): 90.00 90.00 90.00
Atoms (fractional coordinates):
In 0.500 0.500 0.500
F 0.500 0.000 0.000
F 0.000 0.500 0.000
O 0.000 0.000 0.500
Os 0.000 0.000 0.000


The data favor (ii); the next most stable structure lies 727 meV per atom above it.


(i)
A plane-wave DFT calculation with PBE was carried out for InPOF2 after structural relaxation.

a b c (Å): 4.267 4.267 4.375
angles (deg): 90.00 90.00 90.00
Last column: magnetic moment on the atom in μB.
Atoms (fractional coordinates):
O 0.000 0.000 0.500  -0.09
In 0.000 0.000 0.000  0.00
P 0.500 0.500 0.500  0.92
F 0.500 0.000 0.000  0.06
F 0.000 0.500 0.000  0.06


(ii)
A plane-wave DFT calculation with PBE was carried out for InPOF2 after structural relaxation.

a b c (Å): 4.580 4.580 3.582
angles (deg): 90.00 90.00 90.00
Atoms (fractional coordinates):
In 0.500 0.500 0.500
F 0.500 0.000 0.000
F 0.000 0.500 0.000
P 0.000 0.000 0.000
O 0.000 0.000 0.500


The data favor (ii); the next most stable structure lies 391 meV per atom above it.